AcCeMn2S8: relaxed, PBE.

Output
The raw formation energy is -0.9134 eV per atom. Its space-group type is I-4.

abc: 6.2106 6.2106 8.4779
angles: 111.49 111.49 90.00
Last column: magnetic moment on the atom in μB.
Fractional coordinates of all 12 atoms:
Mn 0.5000 0.5000 0.0000  2.66
Mn 0.2500 0.7500 0.5000  2.40
Ac 0.7500 0.2500 0.5000  0.03
S 0.4492 0.2681 0.1280  -0.15
S 0.6788 0.8599 0.1280  -0.15
S 0.6050 0.7287 0.6582  -0.10
S 0.1401 0.5508 0.8720  -0.15
S 0.2713 0.9468 0.3418  -0.10
S 0.7319 0.3212 0.8720  -0.15
S 0.0532 0.9295 0.6582  -0.10
S 0.0705 0.3950 0.3418  -0.10
Ce 0.0000 0.0000 0.0000  0.69

=====

Ac2CeMnSe6: relaxed, PBE.

Output
The raw formation energy is -1.5400 eV per atom. Its space-group type is R-3.

abc: 7.5793 7.5793 7.4306
angles: 59.33 59.33 60.00
Last column: magnetic moment on the atom in μB.
Fractional coordinates of all 10 atoms:
Se 0.1758 0.9753 0.3024  0.00
Se 0.9753 0.5465 0.3024  0.00
Se 0.5466 0.1758 0.3024  0.00
Se 0.4565 0.6570 0.8006  0.00
Se 0.6570 0.0858 0.8007  0.00
Se 0.0858 0.4565 0.8007  0.00
Ac 0.1032 0.1032 0.6903  0.01
Ac 0.5291 0.5291 0.4127  0.01
Ce 0.8162 0.8162 0.5515  0.46
Mn 0.3162 0.3162 0.0516  4.10

=====

Ac2CeMoN4: relaxed, PBE.

Output
The raw formation energy is -0.7476 eV per atom. Its space-group type is Cmcm.

abc: 3.5537 6.4110 13.1421
angles: 90.00 90.00 106.09
Last column: magnetic moment on the atom in μB.
Fractional coordinates of all 16 atoms:
Ac 0.6333 0.2667 0.4569  0.02
Ac 0.6333 0.2667 0.0431  0.02
Ac 0.3667 0.7333 0.9569  0.02
Ac 0.3667 0.7333 0.5431  0.02
N 0.2828 0.5656 0.1420  0.00
N 0.5711 0.1422 0.2500  -0.02
N 0.0000 0.0000 0.0000  0.00
N 0.0000 0.0000 0.5000  0.00
N 0.4289 0.8578 0.7500  -0.02
N 0.2828 0.5656 0.3580  0.00
N 0.7172 0.4344 0.8580  0.00
N 0.7172 0.4344 0.6420  0.00
Ce 0.0835 0.1670 0.7500  0.76
Ce 0.9165 0.8330 0.2500  0.76
Mo 0.1804 0.3608 0.2500  0.22
Mo 0.8196 0.6392 0.7500  0.22

=====

AcCe2MoN5: relaxed, PBE.

Output
The raw formation energy is -1.1832 eV per atom. Its space-group type is I4/mcm.

abc: 6.8578 6.8578 7.5649
angles: 116.95 116.95 90.00
Last column: magnetic moment on the atom in μB.
Fractional coordinates of all 18 atoms:
Ac 0.2500 0.2500 0.5000  0.01
Ac 0.7500 0.7500 0.5000  0.01
N 0.0000 0.0000 0.0000  -0.04
N 0.5045 0.7076 0.7122  -0.01
N 0.5000 0.5000 0.0000  -0.04
N 0.7076 0.2076 0.7122  -0.01
N 0.2924 0.7924 0.2878  -0.01
N 0.9955 0.4955 0.2878  -0.01
N 0.7924 0.9955 0.2878  -0.01
N 0.2076 0.0045 0.7122  -0.01
N 0.0045 0.5045 0.7122  -0.01
N 0.4955 0.2924 0.2878  -0.01
Ce 0.3247 0.8247 0.0000  0.49
Ce 0.8247 0.6753 0.0000  0.49
Ce 0.1753 0.3247 0.0000  0.49
Ce 0.6753 0.1753 0.0000  0.49
Mo 0.7500 0.2500 0.5000  0.14
Mo 0.2500 0.7500 0.5000  0.14

=====

Ac2CeMo2N6: relaxed, PBE.

Output
The raw formation energy is -0.8471 eV per atom. Its space-group type is R-3m.

abc: 5.9973 5.9973 7.0682
angles: 64.90 64.90 60.00
Last column: magnetic moment on the atom in μB.
Fractional coordinates of all 11 atoms:
Ce 0.0000 0.0000 0.0000  0.09
N 0.7712 0.2550 0.7187  0.00
N 0.7450 0.7450 0.2813  0.00
N 0.2550 0.7712 0.7187  0.00
N 0.2288 0.7450 0.2813  0.00
N 0.2550 0.2550 0.7187  0.00
N 0.7450 0.2288 0.2813  0.00
Ac 0.7932 0.7932 0.6203  0.00
Ac 0.2068 0.2068 0.3797  0.00
Mo 0.5961 0.5961 0.2116  0.00
Mo 0.4039 0.4039 0.7884  0.00

=====

Ac2CeMoN5: relaxed, PBE.

Output
The raw formation energy is -0.9934 eV per atom. Its space-group type is I4/mcm.

abc: 7.1017 7.1017 7.8011
angles: 117.08 117.08 90.00
Last column: magnetic moment on the atom in μB.
Fractional coordinates of all 18 atoms:
Mo 0.7500 0.2500 0.5000  0.04
Mo 0.2500 0.7500 0.5000  0.04
N 0.4933 0.6957 0.6890  -0.01
N 0.6957 0.1957 0.6890  -0.01
N 0.9933 0.4933 0.6890  -0.01
N 0.5000 0.5000 0.0000  -0.03
N 0.5067 0.3043 0.3110  -0.01
N 0.0067 0.5067 0.3110  -0.01
N 0.1957 0.9933 0.6890  -0.01
N 0.8043 0.0067 0.3110  -0.01
N 0.3043 0.8043 0.3110  -0.01
N 0.0000 0.0000 0.0000  -0.03
Ac 0.1768 0.3232 0.0000  0.01
Ac 0.3232 0.8232 0.0000  0.01
Ac 0.6768 0.1768 0.0000  0.01
Ac 0.8232 0.6768 0.0000  0.01
Ce 0.2500 0.2500 0.5000  0.94
Ce 0.7500 0.7500 0.5000  0.94

=====

AcCe2MoN4: relaxed, PBE.

Output
The raw formation energy is -1.0637 eV per atom. Its space-group type is Cmcm.

abc: 3.5739 6.3816 11.9046
angles: 90.00 90.00 106.26
Fractional coordinates of all 16 atoms:
N 0.5630 0.1259 0.2500
N 0.0000 0.0000 0.5000
N 0.7381 0.4763 0.8763
N 0.2619 0.5237 0.1237
N 0.4370 0.8741 0.7500
N 0.0000 0.0000 0.0000
N 0.2619 0.5237 0.3763
N 0.7381 0.4763 0.6237
Ce 0.3678 0.7356 0.5439
Ce 0.6322 0.2644 0.0439
Ce 0.6322 0.2644 0.4561
Ce 0.3678 0.7356 0.9561
Mo 0.1518 0.3036 0.2500
Mo 0.8482 0.6964 0.7500
Ac 0.8911 0.7823 0.2500
Ac 0.1089 0.2177 0.7500

=====

What did the fourth record say?
AcCe2MoN5: relaxed, PBE.

Output
The raw formation energy is -1.1832 eV per atom. Its space-group type is I4/mcm.

abc: 6.8578 6.8578 7.5649
angles: 116.95 116.95 90.00
Last column: magnetic moment on the atom in μB.
Fractional coordinates of all 18 atoms:
Ac 0.2500 0.2500 0.5000  0.01
Ac 0.7500 0.7500 0.5000  0.01
N 0.0000 0.0000 0.0000  -0.04
N 0.5045 0.7076 0.7122  -0.01
N 0.5000 0.5000 0.0000  -0.04
N 0.7076 0.2076 0.7122  -0.01
N 0.2924 0.7924 0.2878  -0.01
N 0.9955 0.4955 0.2878  -0.01
N 0.7924 0.9955 0.2878  -0.01
N 0.2076 0.0045 0.7122  -0.01
N 0.0045 0.5045 0.7122  -0.01
N 0.4955 0.2924 0.2878  -0.01
Ce 0.3247 0.8247 0.0000  0.49
Ce 0.8247 0.6753 0.0000  0.49
Ce 0.1753 0.3247 0.0000  0.49
Ce 0.6753 0.1753 0.0000  0.49
Mo 0.7500 0.2500 0.5000  0.14
Mo 0.2500 0.7500 0.5000  0.14

=====

> What is the raw formation energy in the sixth record?

-0.9934 eV per atom